Entry 1:
The following is a DFT calculation (PBE) of a geometry-optimized OsPt2Au structure.

Unit cell a=9.3023 b=2.7804 c=4.9584 alpha=90.00 beta=99.33 gamma=90.00
Space group Cm (No. 8)
Unique sites:
1 Os 0.0000 0.0000 0.0000 (multiplicity 2)
2 Pt 0.0085 0.5000 0.5212 (multiplicity 2)
3 Pt 0.2614 0.0000 0.7863 (multiplicity 2)
4 Au 0.2509 0.5000 0.2735 (multiplicity 2)

## Properties
Formation energy, meV/atom: 251
Offset from the most stable computed form, eV per atom: 0.160
Total magnetic moment, μB per formula unit: 0.0
Total energy, eV per cell: -51.17

***

Entry 2:
The following is a DFT calculation (PBE) of a geometry-optimized OsPtAu structure.

Unit cell a=2.8131 b=2.8131 c=6.9479 alpha=90.00 beta=90.00 gamma=120.00
Space group P3m1 (No. 156)
Unique sites:
1 Os 0.0000 0.0000 0.0000 (multiplicity 1)
2 Pt 0.6667 0.3333 0.3084 (multiplicity 1)
3 Au 0.3333 0.6667 0.6601 (multiplicity 1)

## Properties
Formation energy, meV/atom: 283
Offset from the most stable computed form, eV per atom: 0.000
Total magnetic moment, μB per formula unit: 0.0
Total energy, eV per cell: -19.70

***

Entry 3:
The following is a DFT calculation (PBE) of a geometry-optimized OsPtAu2 structure.

Unit cell a=2.8282 b=2.8282 c=8.2447 alpha=90.00 beta=90.00 gamma=90.00
Space group P4mm (No. 99)
Unique sites:
1 Os 0.0000 0.0000 0.0000 (multiplicity 1)
2 Pt 0.5000 0.5000 0.2142 (multiplicity 1)
3 Au 0.0000 0.0000 0.4769 (multiplicity 1)
4 Au 0.5000 0.5000 0.7488 (multiplicity 1)

## Properties
Formation energy, meV/atom: 247
Offset from the most stable computed form, eV per atom: 0.007
Total magnetic moment, μB per formula unit: 0.0
Total energy, eV per cell: -22.84

***

Entry 4:
The following is a DFT calculation (PBE) of a geometry-optimized OsPt2Au structure.

Unit cell a=3.9843 b=3.9843 c=7.9384 alpha=90.00 beta=90.00 gamma=90.00
Space group I4/mmm (No. 139)
Unique sites:
1 Os 0.0000 0.0000 0.0000 (multiplicity 2)
2 Pt 0.0000 0.5000 0.2500 (multiplicity 4)
3 Au 0.0000 0.0000 0.5000 (multiplicity 2)

## Properties
Formation energy, meV/atom: 329
Offset from the most stable computed form, eV per atom: 0.238
Total magnetic moment, μB per formula unit: 0.0
Total energy, eV per cell: -50.55